Record 1
DFT (GGA-PBE) results for DyEr3Sc2 after structural relaxation.

a b c (Å): 5.409 8.595 8.595
angles (deg): 111.82 90.00 90.00
Element x y z (fractional)
Dy 0.993 0.722 0.722
Dy 0.493 0.278 0.278
Er 0.993 0.889 0.374
Er 0.493 0.626 0.111
Er 0.993 0.374 0.889
Er 0.493 0.111 0.626
Er 0.493 0.906 0.906
Er 0.993 0.094 0.094
Sc 0.493 0.701 0.488
Sc 0.993 0.512 0.299
Sc 0.493 0.488 0.701
Sc 0.993 0.299 0.512

Properties
E_form ... 176 kJ/mol of formula units
M_tot ... 0.00 μB per cell
Space group ... Cmcm, No. 63

---

Record 2
DFT (GGA-PBE) results for Dy2Er5Sc5 after structural relaxation.

a b c (Å): 4.814 7.622 10.796
angles (deg): 115.03 90.00 108.41
Element x y z (fractional)
Dy 0.083 0.167 0.746
Dy 0.917 0.833 0.254
Er 0.500 0.000 0.500
Er 0.665 0.330 0.000
Er 0.588 0.175 0.252
Er 0.412 0.825 0.748
Er 0.335 0.670 0.000
Sc 0.171 0.341 0.501
Sc 0.750 0.501 0.747
Sc 0.250 0.499 0.253
Sc 0.829 0.659 0.499
Sc 0.000 0.000 0.000

Properties
E_form ... 58 kJ/mol of formula units
M_tot ... 0.00 μB per cell
Space group ... C2/m, No. 12

---

Record 3
DFT (GGA-PBE) results for Dy5ErSc after structural relaxation.

a b c (Å): 10.185 6.127 16.680
angles (deg): 32.54 23.63 33.77
Element x y z (fractional)
Dy 0.524 0.537 0.270
Dy 0.901 0.605 0.731
Dy 0.543 0.188 0.909
Dy 0.125 0.535 0.273
Dy 0.303 0.607 0.729
Er 0.893 0.951 0.087
Sc 0.711 0.077 0.500

Properties
E_form ... 85 kJ/mol of formula units
M_tot ... 0.00 μB per cell
Space group ... P1, No. 1

---

Record 4
DFT (GGA-PBE) results for Dy3ErSc3 after structural relaxation.

a b c (Å): 5.925 5.925 14.043
angles (deg): 77.82 77.82 60.00
Element x y z (fractional)
Dy 0.930 0.264 0.209
Dy 0.597 0.930 0.209
Dy 0.264 0.597 0.209
Dy 0.736 0.403 0.791
Dy 0.403 0.070 0.791
Dy 0.070 0.736 0.791
Er 0.667 0.667 0.000
Er 0.333 0.333 0.000
Sc 0.197 0.864 0.407
Sc 0.532 0.197 0.407
Sc 0.864 0.532 0.407
Sc 0.136 0.468 0.593
Sc 0.468 0.803 0.593
Sc 0.803 0.136 0.593

Properties
E_form ... 104 kJ/mol of formula units
M_tot ... 0.00 μB per cell
Space group ... R-3, No. 148

---

Record 5
DFT (GGA-PBE) results for DyEr3Sc2 after structural relaxation.

a b c (Å): 3.367 9.806 11.335
angles (deg): 107.73 98.54 90.00
Element x y z (fractional)
Dy 0.315 0.956 0.630
Dy 0.685 0.044 0.370
Er 0.303 0.292 0.606
Er 0.069 0.771 0.139
Er 0.441 0.567 0.881
Er 0.697 0.708 0.394
Er 0.559 0.433 0.119
Er 0.931 0.229 0.861
Sc 0.308 0.627 0.616
Sc 0.692 0.373 0.384
Sc 0.929 0.862 0.857
Sc 0.071 0.138 0.143

Properties
E_form ... 85 kJ/mol of formula units
M_tot ... 0.00 μB per cell
Space group ... C2/m, No. 12

---

Record 6
DFT (GGA-PBE) results for Dy5Er4Sc4 after structural relaxation.

a b c (Å): 4.873 9.110 9.110
angles (deg): 85.90 74.49 74.49
Element x y z (fractional)
Dy 0.693 0.849 0.766
Dy 0.307 0.151 0.234
Dy 0.000 0.000 0.000
Dy 0.542 0.766 0.151
Dy 0.458 0.234 0.849
Er 0.922 0.461 0.696
Er 0.618 0.304 0.461
Er 0.078 0.539 0.304
Er 0.382 0.696 0.539
Sc 0.768 0.388 0.077
Sc 0.232 0.612 0.923
Sc 0.845 0.923 0.388
Sc 0.155 0.077 0.612

Properties
E_form ... 55 kJ/mol of formula units
M_tot ... 0.00 μB per cell
Space group ... I4/m, No. 87

---

Record 7
DFT (GGA-PBE) results for Dy4Er3Sc4 after structural relaxation.

a b c (Å): 3.394 5.415 17.402
angles (deg): 81.04 84.39 89.99
Element x y z (fractional)
Dy 0.591 0.090 0.819
Dy 0.268 0.268 0.465
Dy 0.732 0.732 0.535
Dy 0.409 0.910 0.181
Er 0.137 0.636 0.728
Er 0.863 0.364 0.272
Er 0.000 0.000 0.000
Sc 0.545 0.544 0.911
Sc 0.455 0.456 0.089
Sc 0.318 0.819 0.361
Sc 0.682 0.181 0.639

Properties
E_form ... 76 kJ/mol of formula units
M_tot ... 0.01 μB per cell
Space group ... C2/m, No. 12

---

Record 8
DFT (GGA-PBE) results for Dy4Er5Sc after structural relaxation.

a b c (Å): 3.435 10.770 8.836
angles (deg): 73.40 101.21 90.00
Element x y z (fractional)
Dy 0.304 0.083 0.608
Dy 0.908 0.808 0.816
Dy 0.696 0.917 0.392
Dy 0.092 0.192 0.184
Er 0.794 0.598 0.587
Er 0.894 0.287 0.788
Er 0.106 0.713 0.212
Er 0.500 0.500 0.000
Er 0.206 0.402 0.413
Sc 0.500 0.000 0.000

Properties
E_form ... 113 kJ/mol of formula units
M_tot ... 0.00 μB per cell
Space group ... C2/m, No. 12

---

Total energy list, top to bottom, in eV per atom: -4.855 -5.257 -4.717 -5.183 -5.012 -5.078 -5.149 -4.638